No. 1
TaRu3Rh | PBE-GGA | optimized geometry

Lattice parameters (Å, degrees): 5.1378 5.1378 5.1378 61.72 61.72 61.72
With the nearest neighbours (Å) after each atom.
Element x y z (fractional)
Ta1 0.0000 0.0000 0.0000  6 Ru 2.64
Ru1 0.0000 0.5000 0.5000  2 Rh 2.57, 4 Ru 2.64, 2 Ta 2.64
Ru2 0.5000 0.0000 0.5000  2 Rh 2.57, 4 Ru 2.64, 2 Ta 2.64
Ru3 0.5000 0.5000 0.0000  2 Rh 2.57, 2 Ta 2.64, 4 Ru 2.64
Rh1 0.5000 0.5000 0.5000  6 Ru 2.57

Computed properties:
**E_form**: 1.110 eV per atom
**E_tot**: -8.296 eV per atom

***

No. 2
Ta2RuRh | PBE-GGA | optimized geometry

Lattice parameters (Å, degrees): 2.9872 4.7622 9.2058 86.80 80.74 90.00
With the nearest neighbours (Å) after each atom.
Element x y z (fractional)
Ta1 0.0648 0.2635 0.3700  6 Ru 2.69-2.83, 2 Rh 2.72, 3 Ta 2.95-2.99
Ta2 0.1851 0.8706 0.1299  5 Rh 2.68-2.88, 2 Ru 2.77-2.78, 5 Ta 2.95-3.00
Ta3 0.8149 0.1294 0.8701  5 Rh 2.68-2.88, 2 Ru 2.77-2.78, 5 Ta 2.95-3.00
Ta4 0.9352 0.7365 0.6300  6 Ru 2.69-2.83, 2 Rh 2.72, 3 Ta 2.95-2.99
Ru1 0.4422 0.2416 0.6165  8 Ta 2.69-2.83, 2 Ru 2.99
Ru2 0.5578 0.7584 0.3835  8 Ta 2.69-2.83, 2 Ru 2.99
Rh1 0.3131 0.6121 0.8750  7 Ta 2.68-2.88, 4 Rh 2.87-2.99
Rh2 0.6869 0.3879 0.1250  7 Ta 2.68-2.88, 4 Rh 2.87-2.99

Computed properties:
**E_form**: -0.369 eV per atom
**E_tot**: -10.452 eV per atom

***

No. 3
Ta2RuRh | PBE-GGA | optimized geometry

Lattice parameters (Å, degrees): 2.9683 2.9683 7.3077 90.00 90.00 90.00
With the nearest neighbours (Å) after each atom.
Element x y z (fractional)
Ta1 0.0000 0.0000 0.2420  4 Ru 2.74, 4 Rh 2.82, 4 Ta 2.97
Ta2 0.0000 0.0000 0.7580  4 Ru 2.74, 4 Rh 2.82, 4 Ta 2.97
Ru1 0.5000 0.5000 0.0000  8 Ta 2.74, 4 Ru 2.97
Rh1 0.5000 0.5000 0.5000  8 Ta 2.82, 4 Rh 2.97

Computed properties:
**E_form**: -0.363 eV per atom
**E_tot**: -10.446 eV per atom